# 1
The following is a GGA-PBEsol calculation of an optimized crystal structure of SmSnPd, from the Alexandria database. Values from VASP.

Structure (Quantum ESPRESSO input):
```
&SYSTEM
  ibrav = 0, nat = 12, ntyp = 3
/
ATOMIC_SPECIES
Sm 150.36 Sm.upf
Sn 118.71 Sn.upf
Pd 106.42 Pd.upf
CELL_PARAMETERS angstrom
7.275 0.000 0.000
0.000 4.620 0.000
0.000 0.000 7.891
ATOMIC_POSITIONS angstrom
Sm 0.079 1.155 1.594
Sm 3.558 3.465 5.539
Sm 3.717 1.155 2.352
Sm 7.195 3.465 6.297
Sn 1.371 1.155 4.631
Sn 2.266 3.465 0.685
Sn 5.009 1.155 7.206
Sn 5.903 3.465 3.260
Pd 1.479 3.465 3.275
Pd 2.158 1.155 7.221
Pd 5.117 3.465 0.670
Pd 5.796 1.155 4.616
```

Summary:
Total energy ... -6.05 eV/atom
Magnetization ... 0.00 Bohr magnetons per cell
DFT formation energy ... -0.948 eV per atom
Symmetry ... No. 62

***

# 2
The following is a GGA-PBEsol calculation of an optimized crystal structure of K2ZrCo, from the Alexandria database. Values from VASP.

Structure (Quantum ESPRESSO input):
```
&SYSTEM
  ibrav = 0, nat = 4, ntyp = 3
/
ATOMIC_SPECIES
K 39.10 K.upf
Zr 91.22 Zr.upf
Co 58.93 Co.upf
CELL_PARAMETERS angstrom
2.777 -6.064 0.000
2.777 6.064 0.000
0.000 0.000 2.919
ATOMIC_POSITIONS angstrom
K 1.389 3.032 0.000
K 1.389 -3.032 0.000
Zr 0.000 0.000 1.460
Co 2.777 0.000 1.460
```

Summary:
Total energy ... -3.54 eV/atom
Magnetization ... 0.01 Bohr magnetons per cell
DFT formation energy ... 1.238 eV per atom
Symmetry ... No. 65

***

# 3
The following is a GGA-PBEsol calculation of an optimized crystal structure of KLaF4, from the Alexandria database. Values from VASP.

Structure (Quantum ESPRESSO input):
```
&SYSTEM
  ibrav = 0, nat = 24, ntyp = 3
/
ATOMIC_SPECIES
K 39.10 K.upf
La 138.91 La.upf
F 19.00 F.upf
CELL_PARAMETERS angstrom
6.269 0.000 0.000
0.000 3.806 0.000
0.000 0.000 15.572
ATOMIC_POSITIONS angstrom
K 1.380 0.952 3.154
K 1.754 2.855 10.940
K 4.514 0.952 4.632
K 4.889 2.855 12.418
La 1.556 2.855 6.819
La 1.578 0.952 14.605
La 4.690 2.855 0.967
La 4.712 0.952 8.753
F 0.034 0.952 0.932
F 0.569 0.952 12.518
F 0.634 0.952 5.661
F 0.861 0.952 8.356
F 2.273 2.855 0.570
F 2.500 2.855 13.447
F 2.565 2.855 4.732
F 3.100 2.855 8.718
F 3.169 0.952 6.854
F 3.704 0.952 10.840
F 3.768 0.952 2.125
F 3.995 0.952 15.002
F 5.408 2.855 7.216
F 5.634 2.855 9.911
F 5.699 2.855 3.054
F 6.234 2.855 14.640
```

Summary:
Total energy ... -6.12 eV/atom
Magnetization ... 0.31 Bohr magnetons per cell
Symmetry ... No. 62

***

# 4
The following is a GGA-PBEsol calculation of an optimized crystal structure of RbSc2WC, from the Alexandria database. Values from VASP.

Structure (Quantum ESPRESSO input):
```
&SYSTEM
  ibrav = 0, nat = 5, ntyp = 4
/
ATOMIC_SPECIES
Rb 85.47 Rb.upf
Sc 44.96 Sc.upf
W 183.84 W.upf
C 12.01 C.upf
CELL_PARAMETERS angstrom
4.828 0.000 0.000
0.000 4.828 0.000
0.000 0.000 4.625
ATOMIC_POSITIONS angstrom
Rb 0.000 0.000 0.000
Sc 0.000 2.414 0.000
Sc 2.414 0.000 0.000
W 0.000 0.000 2.312
C 2.414 2.414 2.312
```

Summary:
Total energy ... -4.06 eV/atom
Magnetization ... 0.01 Bohr magnetons per cell
DFT formation energy ... 3.473 eV per atom
Symmetry ... No. 123